DFT (GGA-PBE) results for a relaxed structure of Rb2GeRhSe.

Structure (extended XYZ):
```
5
Lattice="6.568 0.000 0.000 0.000 6.568 0.000 0.000 0.000 4.554" Properties=species:S:1:pos:R:3 pbc="T T T"
Rb 0.000 3.284 0.000
Rb 3.284 0.000 0.000
Ge 0.000 0.000 0.000
Rh 0.000 0.000 2.277
Se 3.284 3.284 2.277
```

Calculated values
magnetization	1.2	μB per cell
VASP energy	-3.28	eV/atom
Fermi-level density of states	6.68	states/eV/cell
E_form (uncorrected)	0.1959	eV per atom